A plane-wave DFT calculation with PBE was carried out for a relaxed RuRhPbN2 crystal.

Lattice parameters (Å, degrees): 3.7898 3.7898 6.1617 90.00 90.00 90.00
Atoms (fractional coordinates):
Ru (0.0000, 0.0000, 0.0000)
Rh (0.5000, 0.5000, 0.5000)
Pb (0.0000, 0.0000, 0.5000)
N (0.0000, 0.5000, 0.0000)
N (0.5000, 0.0000, 0.0000)

Properties
The space group is No. 123. The total DFT energy (no corrections) is -6.3800 eV per atom. The crystal system is tetragonal.